1.
9
Lattice="4.061 0.000 0.000 0.000 4.061 0.000 0.000 0.000 11.985" Properties=species:S:1:pos:R:3 comment="LaUGa2Pt5, optimized geometry, DFT PBE" n_ef_per_ev_fu=9.8 space_group="No. 123" crystal_system=tetragonal formation_enthalpy_0k_ev_per_fu=-6.260 pbc="T T T"
Ga 2.031 2.031 8.464
Ga 2.031 2.031 3.521
Pt 0.000 2.031 10.003
Pt 2.031 0.000 1.982
Pt 0.000 2.031 1.982
Pt 2.031 2.031 5.993
Pt 2.031 0.000 10.003
U 0.000 0.000 0.000
La 0.000 0.000 5.993

---

2.
10
Lattice="-0.250 4.036 1.534 -4.224 0.090 -0.925 -2.356 -4.081 10.356" Properties=species:S:1:pos:R:3 comment="La2YGa3Pt4, optimized geometry, DFT PBE" n_ef_per_ev_fu=7.0 space_group="No. 115" crystal_system=tetragonal formation_enthalpy_0k_ev_per_fu=-10.056 pbc="T T T"
Pt 0.000 0.000 0.000
Pt -1.675 -0.668 7.583
Pt -2.237 2.063 0.304
Pt -2.917 -1.350 3.077
Y -3.415 0.023 5.482
Ga -2.198 -1.574 9.880
Ga -1.178 -2.041 5.178
Ga -2.395 -0.445 0.780
La -3.928 -3.102 7.523
La -0.664 1.084 3.138

---

3.
18
Lattice="-7.766 1.785 0.040 -3.704 0.778 7.012 -2.234 7.278 2.352" Properties=species:S:1:pos:R:3 comment="La2ZnGa3Pt12, optimized geometry, DFT PBE" n_ef_per_ev_fu=8.4 space_group="No. 166" crystal_system=trigonal formation_enthalpy_0k_ev_per_fu=-7.748 pbc="T T T"
Ga -1.852 0.389 3.506
Ga -1.117 3.639 1.176
Ga -3.883 0.892 0.020
La -5.153 3.700 3.536
La -8.551 6.141 5.868
Pt -7.455 2.495 4.703
Pt -8.093 7.689 8.172
Pt -4.668 5.263 5.868
Pt -6.249 7.346 4.701
Pt -5.611 2.152 1.232
Pt -6.714 5.770 2.355
Pt -3.600 1.654 4.684
Pt -9.036 4.579 3.536
Pt -10.104 8.188 4.720
Pt -10.832 4.969 7.027
Pt -6.990 4.072 7.049
Pt -2.872 4.872 2.377
Zn 0.000 0.000 0.000

---

4.
10
Lattice="4.327 0.000 0.000 0.000 4.327 0.000 0.000 0.000 10.594" Properties=species:S:1:pos:R:3 comment="La2Zn4Ga3Pt, optimized geometry, DFT PBE" n_ef_per_ev_fu=4.8 space_group="No. 115" crystal_system=tetragonal formation_enthalpy_0k_ev_per_fu=-5.538 pbc="T T T"
Zn 2.164 0.000 6.700
Zn 2.164 2.164 0.000
Zn 0.000 2.164 3.894
Zn 0.000 0.000 0.000
Ga 2.164 0.000 9.181
Ga 0.000 2.164 1.414
Ga 0.000 0.000 5.297
Pt 2.164 2.164 5.297
La 0.000 2.164 7.897
La 2.164 0.000 2.698

---

5.
10
Lattice="4.339 0.000 0.000 0.000 4.339 0.000 0.000 0.000 10.605" Properties=species:S:1:pos:R:3 comment="La2ZnGa4Pt3, optimized geometry, DFT PBE" n_ef_per_ev_fu=6.9 space_group="No. 115" crystal_system=tetragonal formation_enthalpy_0k_ev_per_fu=-8.921 pbc="T T T"
Ga 2.169 0.000 6.699
Ga 0.000 2.169 3.906
Ga 2.169 2.169 0.000
Ga 0.000 0.000 0.000
Pt 2.169 0.000 9.214
Pt 0.000 0.000 5.302
Pt 0.000 2.169 1.391
Zn 2.169 2.169 5.302
La 2.169 0.000 2.609
La 0.000 2.169 7.996

---

6.
5
Lattice="-2.549 2.800 -2.122 0.266 -2.451 -3.554 -3.197 -2.930 4.414" Properties=species:S:1:pos:R:3 comment="LaZnGa2Pt, optimized geometry, DFT PBE" n_ef_per_ev_fu=2.7 space_group="No. 44" crystal_system=orthorhombic formation_enthalpy_0k_ev_per_fu=-3.771 pbc="T T T"
La -3.874 -2.460 1.407
Ga -2.977 0.319 -0.443
Ga -0.472 -0.300 0.171
Pt -3.947 -1.607 -1.820
Zn -1.531 -2.282 -1.173

---

7.
15
Lattice="5.730 0.000 0.000 -2.865 4.962 0.000 0.000 0.000 11.653" Properties=species:S:1:pos:R:3 comment="La3ZnGa2Pt9, optimized geometry, DFT PBE" n_ef_per_ev_fu=4.2 space_group="No. 164" crystal_system=trigonal formation_enthalpy_0k_ev_per_fu=-11.452 pbc="T T T"
Pt 1.423 0.821 7.803
Pt 1.442 4.141 3.850
Pt 1.432 2.481 0.000
Pt 4.307 0.821 7.803
Pt 2.865 0.000 0.000
Pt 2.865 3.319 7.803
Pt -1.442 4.141 3.850
Pt 0.000 1.643 3.850
Pt -1.432 2.481 0.000
Zn 0.000 0.000 5.826
Ga 2.865 1.654 9.699
Ga 0.000 3.308 1.954
La 2.865 1.654 2.985
La 0.000 3.308 8.667
La 0.000 0.000 0.000

---

8.
6
Lattice="-3.446 -2.371 -1.381 4.014 -1.811 0.117 -1.137 -2.105 6.451" Properties=species:S:1:pos:R:3 comment="LaZnGa2Pt2, optimized geometry, DFT PBE" n_ef_per_ev_fu=2.5 space_group="No. 164" crystal_system=trigonal formation_enthalpy_0k_ev_per_fu=-4.861 pbc="T T T"
Ga 1.179 -2.642 1.592
Ga -1.748 -3.645 3.594
Zn -0.569 -1.053 3.225
Pt -1.302 -2.819 1.063
Pt 0.733 -3.468 4.123
La 0.000 0.000 0.000

---

9.
5
Lattice="-1.352 0.199 -3.941 3.300 -2.227 -1.245 -3.964 -3.852 3.374" Properties=species:S:1:pos:R:3 comment="LaZnGaPt2, optimized geometry, DFT PBE" n_ef_per_ev_fu=2.8 space_group="No. 119" crystal_system=tetragonal formation_enthalpy_0k_ev_per_fu=-4.478 pbc="T T T"
Pt 0.273 -2.156 -2.410
Pt -2.289 -3.725 0.598
Zn -2.171 -2.334 -1.580
Ga 0.155 -3.547 -0.232
La 0.000 0.000 0.000

---

10.
20
Lattice="-0.891 3.490 -1.100 -7.972 -0.156 5.963 5.480 3.740 7.424" Properties=species:S:1:pos:R:3 comment="La2Zn2GaPt5, optimized geometry, DFT PBE" n_ef_per_ev_fu=4.1 space_group="No. 127" crystal_system=tetragonal formation_enthalpy_0k_ev_per_fu=-7.713 pbc="T T T"
Pt -4.432 1.667 2.432
Pt -1.641 5.143 11.198
Pt 0.242 3.786 5.368
Pt -3.625 3.288 6.920
Pt -6.844 2.355 6.570
Pt -1.045 4.285 7.994
Pt -1.741 1.931 1.089
Pt -2.338 2.788 4.293
Pt 3.461 4.718 5.717
Pt 2.295 3.615 3.162
Zn -4.931 1.281 8.059
Zn -2.362 0.392 3.158
Zn -0.130 3.191 10.229
Zn 2.439 2.303 5.328
La 0.343 1.176 3.452
La 1.938 3.023 8.021
La -2.835 2.408 9.936
La -4.430 0.560 5.367
Ga 0.000 0.000 0.000
Ga -1.246 1.792 6.694

---

11.
10
Lattice="4.133 0.000 0.000 0.000 4.133 0.000 0.000 0.000 11.546" Properties=species:S:1:pos:R:3 comment="La2Zn4GaPt3, optimized geometry, DFT PBE" n_ef_per_ev_fu=5.4 space_group="No. 115" crystal_system=tetragonal formation_enthalpy_0k_ev_per_fu=-7.324 pbc="T T T"
Pt 2.066 0.000 9.909
Pt 0.000 2.066 1.637
Pt 0.000 0.000 5.773
La 2.066 0.000 2.826
La 0.000 2.066 8.720
Zn 2.066 0.000 7.332
Zn 2.066 2.066 0.000
Zn 0.000 0.000 0.000
Zn 0.000 2.066 4.214
Ga 2.066 2.066 5.773

---

12.
5
Lattice="-2.609 2.607 -1.865 -3.264 -1.551 2.399 3.984 3.319 3.645" Properties=species:S:1:pos:R:3 comment="LaZn2GaPt, optimized geometry, DFT PBE" n_ef_per_ev_fu=3.3 space_group="No. 44" crystal_system=orthorhombic formation_enthalpy_0k_ev_per_fu=-3.278 pbc="T T T"
Zn 0.118 0.434 0.441
Zn -0.895 2.809 0.598
La 0.923 3.389 3.447
Ga -1.232 0.692 2.692
Pt -2.248 3.057 2.839